{
  "formula": "ErTmMgRe",
  "functional": "GGA-PBE",
  "state": "optimized geometry",
  "lattice": [[0.000, 3.512, 3.512], [3.512, 0.000, 3.512], [3.512, 3.512, 0.000]],
  "species": ["Er", "Tm", "Mg", "Re"],
  "fractional_positions": [[0.000, 0.000, 0.000], [0.500, 0.500, 0.500], [0.250, 0.250, 0.250], [0.750, 0.750, 0.750]],
  "final_energy_ev_per_atom": -5.72
}